A plane-wave DFT calculation with GGA-PBE was carried out for an optimized crystal structure of ZrIrBr3.

Summary:
Energy above the lowest structure with this stoichiometry (eV per atom): 0.000

Cell: 5.3151 5.3151 5.3151 Å, 90.00 90.00 90.00°
Last column: nearest neighbours and their distance in Å.
Fractional coordinates of all 5 atoms:
Zr (0.0000, 0.0000, 0.0000)  6 Br 2.66
Ir (0.5000, 0.5000, 0.5000)  12 Br 3.76
Br (0.0000, 0.0000, 0.5000)  2 Zr 2.66
Br (0.0000, 0.5000, 0.0000)  2 Zr 2.66
Br (0.5000, 0.0000, 0.0000)  2 Zr 2.66

***

A plane-wave DFT calculation with GGA-PBE was carried out for an optimized crystal structure of NaLiLaTl.

Summary:
Calculated formation energy (eV/atom): -0.13

Cell: 5.4069 5.4069 5.4069 Å, 60.00 60.00 60.00°
Last column: nearest neighbours and their distance in Å.
Fractional coordinates of all 4 atoms:
Na (0.0000, 0.0000, 0.0000)  4 Li 3.31, 4 Tl 3.31
Li (0.7500, 0.7500, 0.7500)  4 La 3.31, 4 Na 3.31
La (0.5000, 0.5000, 0.5000)  4 Tl 3.31, 4 Li 3.31
Tl (0.2500, 0.2500, 0.2500)  4 La 3.31, 4 Na 3.31

***

A plane-wave DFT calculation with GGA-PBE was carried out for an optimized crystal structure of TbFe5B2.

Summary:
Calculated formation energy (eV/atom): -0.27

Cell: 5.6955 5.6955 5.6955 Å, 146.76 109.42 80.28°
Last column: nearest neighbours and their distance in Å.
Fractional coordinates of all 8 atoms:
Tb (0.0000, 0.0000, 0.0000)  4 B 2.75, 8 Fe 2.98
Fe (0.1534, 0.3391, 0.8143)  3 B 2.17-2.22, 2 Fe 2.40
Fe (0.4751, 0.6609, 0.8143)  3 B 2.17-2.22, 2 Fe 2.40
Fe (0.5000, 0.0000, 0.5000)  2 B 2.14
Fe (0.5249, 0.3391, 0.1857)  3 B 2.17-2.22, 2 Fe 2.40
Fe (0.8466, 0.6609, 0.1857)  3 B 2.17-2.22, 2 Fe 2.40
B (0.2544, 0.7544, 0.5000)  7 Fe 2.14-2.22
B (0.7456, 0.2456, 0.5000)  7 Fe 2.14-2.22

***

A plane-wave DFT calculation with GGA-PBE was carried out for an optimized crystal structure of K2AgOs.

Summary:
Calculated formation energy (eV/atom): 0.92
Energy above the lowest structure with this stoichiometry (eV per atom): 0.053

Cell: 6.5482 6.5482 6.2658 Å, 106.10 106.10 24.02°
Last column: nearest neighbours and their distance in Å.
Fractional coordinates of all 4 atoms:
K (0.0000, 0.0000, 0.0000)  2 K 2.73
K (0.1993, 0.1993, 0.6023)  2 K 2.73
Ag (0.4263, 0.4263, 0.4471)  2 Ag 2.73, 2 Os 2.77
Os (0.7627, 0.7627, 0.1390)  2 Os 2.73, 2 Ag 2.77

***

A plane-wave DFT calculation with GGA-PBE was carried out for an optimized crystal structure of LaSe2Br.

Summary:
Energy above the lowest structure with this stoichiometry (eV per atom): 0.572

Cell: 5.2688 5.2688 5.2688 Å, 60.00 60.00 60.00°
Last column: nearest neighbours and their distance in Å.
Fractional coordinates of all 4 atoms:
La (0.0000, 0.0000, 0.0000)  8 Se 3.23
Se (0.2500, 0.2500, 0.2500)  4 Br 3.23, 4 La 3.23
Se (0.7500, 0.7500, 0.7500)  4 La 3.23, 4 Br 3.23
Br (0.5000, 0.5000, 0.5000)  8 Se 3.23

***

A plane-wave DFT calculation with GGA-PBE was carried out for an optimized crystal structure of Ga2Tc2Sn.

Summary:
Calculated formation energy (eV/atom): -0.02
Energy above the lowest structure with this stoichiometry (eV per atom): 0.000

Cell: 6.9963 6.9963 3.4075 Å, 90.00 90.00 90.00°
Last column: nearest neighbours and their distance in Å.
Fractional coordinates of all 10 atoms:
Ga (0.1445, 0.3555, 0.0000)  6 Tc 2.65-2.67, 1 Ga 2.86
Ga (0.3555, 0.8555, 0.0000)  6 Tc 2.65-2.67, 1 Ga 2.86
Ga (0.6445, 0.1445, 0.0000)  6 Tc 2.65-2.67, 1 Ga 2.86
Ga (0.8555, 0.6445, 0.0000)  6 Tc 2.65-2.67, 1 Ga 2.86
Tc (0.1501, 0.6501, 0.5000)  6 Ga 2.65-2.67, 2 Sn 2.66
Tc (0.3499, 0.1501, 0.5000)  6 Ga 2.65-2.67, 2 Sn 2.66
Tc (0.6501, 0.8499, 0.5000)  6 Ga 2.65-2.67, 2 Sn 2.66
Tc (0.8499, 0.3499, 0.5000)  6 Ga 2.65-2.67, 2 Sn 2.66
Sn (0.0000, 0.0000, 0.5000)  4 Tc 2.66
Sn (0.5000, 0.5000, 0.5000)  4 Tc 2.66

***

A plane-wave DFT calculation with GGA-PBE was carried out for an optimized crystal structure of TaReW2.

Summary:
Calculated formation energy (eV/atom): 0.29
Energy above the lowest structure with this stoichiometry (eV per atom): 0.437

Cell: 8.7391 8.7391 8.7391 Å, 19.77 19.77 19.77°
Last column: nearest neighbours and their distance in Å.
Fractional coordinates of all 4 atoms:
Ta (0.0000, 0.0000, 0.0000)  3 Re 2.77, 3 W 2.80, 6 Ta 3.00
Re (0.7509, 0.7509, 0.7509)  3 W 2.73, 3 Ta 2.77, 6 Re 3.00
W (0.2479, 0.2479, 0.2479)  9 W 2.72-3.00, 3 Ta 2.80
W (0.4996, 0.4996, 0.4996)  9 W 2.72-3.00, 3 Re 2.73

***

A plane-wave DFT calculation with GGA-PBE was carried out for an optimized crystal structure of Ho2TlF.

Summary:
Energy above the lowest structure with this stoichiometry (eV per atom): 0.000

Cell: 7.4905 7.4905 7.4905 Å, 37.08 37.08 37.08°
Last column: nearest neighbours and their distance in Å.
Fractional coordinates of all 4 atoms:
Ho (0.1033, 0.1033, 0.1033)  1 F 2.16
Ho (0.8967, 0.8967, 0.8967)  1 F 2.16
Tl (0.5000, 0.5000, 0.5000)  6 Ho 3.05
F (0.0000, 0.0000, 0.0000)  2 Ho 2.16